A relaxed structure of CePmBiPb, computed with PBE.

Lattice parameters (Å, degrees): 5.5737 5.5737 5.5737 60.00 60.00 60.00
Atoms (fractional coordinates):
Ce (0.0000, 0.0000, 0.0000)
Pm (0.5000, 0.5000, 0.5000)
Bi (0.7500, 0.7500, 0.7500)
Pb (0.2500, 0.2500, 0.2500)

- Fermi-level density of states: 9.37 states/eV/f.u.
- Space group: F-43m
- DFT total energy: -5.0646 eV per atom
- Magnetic moment: 0.3346 μB/atom